(1)
# PBE-GGA BaTl4F12, optimized geometry
data_BaTl4F12
_chemical_formula_sum 'Ba2 Tl8 F24'
_symmetry_space_group_name_H-M 'I m -3'
_symmetry_Int_Tables_number 204
_symmetry_space_group_name_Hall '-I 2 2 3'
_cell_length_a 9.034
_cell_length_b 9.034
_cell_length_c 9.034
_cell_angle_alpha 90.00
_cell_angle_beta 90.00
_cell_angle_gamma 90.00
loop_
_atom_site_label
_atom_site_type_symbol
_atom_site_fract_x
_atom_site_fract_y
_atom_site_fract_z
Ba1 Ba 0.000 0.000 0.000
Tl1 Tl 0.250 0.250 0.250
F1 F 0.000 0.238 0.217
# Raw formation energy in eV/atom: -2.16
# Total DFT energy (no corrections) in eV/cell: -141.060


(2)
# PBE-GGA Pu2MnC2, optimized geometry
data_Pu2MnC2
_chemical_formula_sum 'Pu8 Mn4 C8'
_symmetry_space_group_name_H-M 'C 1 2/m 1'
_symmetry_Int_Tables_number 12
_cell_length_a 9.946
_cell_length_b 5.140
_cell_length_c 6.141
_cell_angle_alpha 90.00
_cell_angle_beta 115.57
_cell_angle_gamma 90.00
loop_
_symmetry_equiv_pos_as_xyz
'x,y,z'
'-x,-y,-z'
'-x,y,-z'
'x,-y,z'
'x+1/2,y+1/2,z'
'-x+1/2,-y+1/2,-z'
'-x+1/2,y+1/2,-z'
'x+1/2,-y+1/2,z'
loop_
_atom_site_label
_atom_site_type_symbol
_atom_site_fract_x
_atom_site_fract_y
_atom_site_fract_z
Pu1 Pu 0.009 0.000 0.226
Pu2 Pu 0.200 0.500 0.649
Mn1 Mn 0.139 0.500 0.111
C1 C 0.002 0.500 0.765
C2 C 0.172 0.000 0.631
# Energy of formation in eV/atom: -0.04
# Total DFT energy (no corrections) in eV/cell: -225.916


(3)
# PBE-GGA Fe2ReBr8, optimized geometry
data_Fe2ReBr8
_chemical_formula_sum 'Fe4 Re2 Br16'
_symmetry_space_group_name_H-M 'C 1 2/m 1'
_symmetry_Int_Tables_number 12
_cell_length_a 13.321
_cell_length_b 9.296
_cell_length_c 6.226
_cell_angle_alpha 90.00
_cell_angle_beta 90.95
_cell_angle_gamma 90.00
loop_
_symmetry_equiv_pos_as_xyz
'x,y,z'
'-x,-y,-z'
'-x,y,-z'
'x,-y,z'
'x+1/2,y+1/2,z'
'-x+1/2,-y+1/2,-z'
'-x+1/2,y+1/2,-z'
'x+1/2,-y+1/2,z'
loop_
_atom_site_label
_atom_site_type_symbol
_atom_site_fract_x
_atom_site_fract_y
_atom_site_fract_z
Fe1 Fe 0.166 0.000 0.380
Re1 Re 0.000 0.000 0.000
Br1 Br 0.075 0.203 0.230
Br2 Br 0.160 0.000 0.776
Br3 Br 0.164 0.500 0.683
# Raw formation energy in eV/atom: -0.32
# Total DFT energy (no corrections) in eV/cell: -92.506


(4)
# PBE-GGA Ca2HfPt2, optimized geometry
data_Ca2HfPt2
_chemical_formula_sum 'Ca4 Hf2 Pt4'
_symmetry_space_group_name_H-M 'P 4/m b m'
_symmetry_Int_Tables_number 127
_symmetry_space_group_name_Hall '-P 4 2ab'
_cell_length_a 7.052
_cell_length_b 7.052
_cell_length_c 4.639
_cell_angle_alpha 90.00
_cell_angle_beta 90.00
_cell_angle_gamma 90.00
loop_
_atom_site_label
_atom_site_type_symbol
_atom_site_fract_x
_atom_site_fract_y
_atom_site_fract_z
Ca1 Ca 0.171 0.329 0.000
Hf1 Hf 0.000 0.000 0.500
Pt1 Pt 0.138 0.638 0.500
# Energy of formation in eV/atom: -0.78
# Total DFT energy (no corrections) in eV/cell: -59.877


(5)
# PBE-GGA Dy2PuTl4, optimized geometry
data_Dy2PuTl4
_chemical_formula_sum 'Dy2 Pu1 Tl4'
_symmetry_space_group_name_H-M 'P 4/m m m'
_symmetry_Int_Tables_number 123
_symmetry_space_group_name_Hall '-P 4 2'
_cell_length_a 5.246
_cell_length_b 5.246
_cell_length_c 7.569
_cell_angle_alpha 90.00
_cell_angle_beta 90.00
_cell_angle_gamma 90.00
loop_
_atom_site_label
_atom_site_type_symbol
_atom_site_fract_x
_atom_site_fract_y
_atom_site_fract_z
Dy1 Dy 0.000 0.000 0.000
Dy2 Dy 0.500 0.500 0.500
Pu1 Pu 0.000 0.000 0.500
Tl1 Tl 0.000 0.500 0.229
# Energy of formation in eV/atom: -0.11
# Total DFT energy (no corrections) in eV/cell: -33.794


(6)
# PBE-GGA RbCd3Hg, optimized geometry
data_RbCd3Hg
_chemical_formula_sum 'Rb1 Cd3 Hg1'
_symmetry_space_group_name_H-M 'P m -3 m'
_symmetry_Int_Tables_number 221
_symmetry_space_group_name_Hall '-P 4 2 3'
_cell_length_a 5.691
_cell_length_b 5.691
_cell_length_c 5.691
_cell_angle_alpha 90.00
_cell_angle_beta 90.00
_cell_angle_gamma 90.00
loop_
_atom_site_label
_atom_site_type_symbol
_atom_site_fract_x
_atom_site_fract_y
_atom_site_fract_z
Rb1 Rb 0.000 0.000 0.000
Cd1 Cd 0.000 0.500 0.500
Hg1 Hg 0.500 0.500 0.500
# Energy of formation in eV/atom: 0.05
# Relative energy among the computed polymorphs in meV/atom: 151
# Total DFT energy (no corrections) in eV/cell: -3.741